No. 1
First-principles (PBE) data for Er2Ga8Ag after structural relaxation, as listed in Alexandria.

Unit cell a=4.3461 b=4.3461 c=11.3402 alpha=90.00 beta=90.00 gamma=90.00
Last column: nearest neighbours and their distance in Å.
Positions (direct):
1 Er 0.0000 0.0000 0.1856  12 Ga 2.97-3.07
2 Er 0.0000 0.0000 0.8144  12 Ga 2.97-3.07
3 Ga 0.0000 0.5000 0.0000  4 Er 3.03, 8 Ga 3.05-3.07
4 Ga 0.0000 0.5000 0.3640  2 Ag 2.66, 2 Ga 2.95, 2 Er 2.97
5 Ga 0.0000 0.5000 0.6360  2 Ag 2.66, 2 Ga 2.95, 2 Er 2.97
6 Ga 0.5000 0.0000 0.0000  4 Er 3.03, 8 Ga 3.05-3.07
7 Ga 0.5000 0.0000 0.3640  2 Ag 2.66, 2 Ga 2.95, 2 Er 2.97
8 Ga 0.5000 0.0000 0.6360  2 Ag 2.66, 2 Ga 2.95, 2 Er 2.97
9 Ga 0.5000 0.5000 0.1882  8 Ga 2.95-3.05, 4 Er 3.07
10 Ga 0.5000 0.5000 0.8118  8 Ga 2.95-3.05, 4 Er 3.07
11 Ag 0.0000 0.0000 0.5000  8 Ga 2.66

Calculated values
Its crystal system is tetragonal. As for the space group: P4/mmm, No. 123. The formation energy comes out at -350 meV/atom. The value obtained for the total energy is -40.040 eV for the cell shown. For the calculated density, the calculation gives 7.75 Mg/m³.



No. 2
First-principles (PBE) data for Er2Ga2Ag after structural relaxation, as listed in Alexandria.

Unit cell a=5.8039 b=5.8039 c=10.4078 alpha=115.22 beta=115.22 gamma=44.73
Last column: nearest neighbours and their distance in Å.
Positions (direct):
1 Er 0.0086 0.0086 0.3274  6 Ga 3.04-3.15, 4 Ag 3.12-3.27
2 Er 0.1806 0.1806 0.1027  6 Ga 3.02-3.19, 2 Ag 3.26
3 Er 0.8194 0.8194 0.8973  6 Ga 3.02-3.19, 2 Ag 3.26
4 Er 0.9914 0.9914 0.6726  6 Ga 3.04-3.15, 4 Ag 3.12-3.27
5 Ga 0.3668 0.3668 0.4303  1 Ga 2.54, 2 Ag 2.60
6 Ga 0.4699 0.4699 0.1108  1 Ga 2.67, 1 Ag 2.71
7 Ga 0.5301 0.5301 0.8892  1 Ga 2.67, 1 Ag 2.71
8 Ga 0.6332 0.6332 0.5697  1 Ga 2.54, 2 Ag 2.60
9 Ag 0.2775 0.2775 0.6504  4 Ga 2.60-2.86
10 Ag 0.7225 0.7225 0.3496  4 Ga 2.60-2.86

Calculated values
Its crystal system is monoclinic. As for the space group: C2/m, No. 12. The formation energy comes out at -533 meV/atom. The value obtained for the total energy is -41.387 eV for the cell shown. For the calculated density, the calculation gives 8.82 Mg/m³.



No. 3
First-principles (PBE) data for Er2GaAg3 after structural relaxation, as listed in Alexandria.

Unit cell a=9.2033 b=9.2033 c=9.2033 alpha=157.05 beta=153.39 gamma=35.42
Last column: nearest neighbours and their distance in Å.
Positions (direct):
1 Er 0.0000 0.0000 0.0000  6 Ag 3.08-3.32, 4 Ga 3.11
2 Er 0.7358 0.2358 0.5000  8 Ag 3.11-3.12, 2 Ga 3.33
3 Ga 0.5775 0.5775 0.0000  3 Ag 2.54-2.63
4 Ag 0.1577 0.6577 0.5000  2 Ga 2.54, 1 Ag 2.73
5 Ag 0.3137 0.8137 0.5000  3 Ag 2.71-2.73
6 Ag 0.4272 0.4272 0.0000  1 Ga 2.63, 2 Ag 2.71

Calculated values
Its crystal system is orthorhombic. As for the space group: Imm2, No. 44. The formation energy comes out at -249 meV/atom. The value obtained for the total energy is -22.202 eV for the cell shown. For the calculated density, the calculation gives 8.89 Mg/m³.



No. 4
First-principles (PBE) data for ErGaAg2 after structural relaxation, as listed in Alexandria.

Unit cell a=4.3415 b=4.3415 c=4.3363 alpha=90.00 beta=90.00 gamma=90.00
Last column: nearest neighbours and their distance in Å.
Positions (direct):
1 Er 0.0000 0.0000 0.0000  8 Ag 3.07, 4 Ga 3.07
2 Ga 0.5000 0.5000 0.0000  8 Ag 3.07, 4 Er 3.07
3 Ag 0.0000 0.5000 0.5000  4 Ga 3.07, 4 Er 3.07, 4 Ag 3.07
4 Ag 0.5000 0.0000 0.5000  4 Ga 3.07, 4 Er 3.07, 4 Ag 3.07

Calculated values
Its crystal system is tetragonal. As for the space group: P4/mmm, No. 123. The formation energy comes out at -226 meV/atom. The value obtained for the total energy is -14.196 eV for the cell shown. For the calculated density, the calculation gives 9.20 Mg/m³.